## NaGaRe3 (GGA-PBE)

Data for a geometry-optimized NaGaRe3 structure.

- Total magnetization: 0.0 μB/f.u.
- E above lowest polymorph: 0.0 meV/atom

Cell: 4.613 4.613 4.613 Å, 90.00 90.00 90.00°
Atoms (fractional coordinates):
Re 0.000 0.500 0.000
Re 0.000 0.000 0.500
Re 0.500 0.000 0.000
Ga 0.000 0.000 0.000
Na 0.500 0.500 0.500

## Nd4Cd (GGA-PBE)

Data for a geometry-optimized Nd4Cd structure.

- Total magnetization: 0.0 μB/f.u.
- E above lowest polymorph: 488.0 meV/atom

Cell: 5.852 5.852 5.852 Å, 90.00 90.00 90.00°
Atoms (fractional coordinates):
Nd 0.000 0.000 0.000
Nd 0.500 0.000 0.500
Nd 0.000 0.500 0.500
Nd 0.500 0.500 0.000
Cd 0.500 0.500 0.500

## SrAcTeP (GGA-PBE)

Data for a geometry-optimized SrAcTeP structure.

- Uncorrected formation energy: -1.55 eV per atom
- Total magnetization: 0.0 μB/f.u.

Cell: 4.565 4.565 8.068 Å, 73.57 73.57 60.00°
Atoms (fractional coordinates):
Sr 0.508 0.508 0.475
Ac 0.988 0.988 0.036
Te 0.750 0.750 0.749
P 0.253 0.253 0.240

What is the total magnetization in the second record? 0.0 μB/f.u.

total magnetization of number 1 (NaGaRe3)? 0.0 μB/f.u.